# CoGeAsO, relaxed, DFT PBE with a Hubbard U
data_CoGeAsO
_chemical_formula_sum 'Co2 Ge2 As2 O2'
_cell_length_a 3.622
_cell_length_b 3.622
_cell_length_c 9.442
_cell_angle_alpha 90.00
_cell_angle_beta 90.00
_cell_angle_gamma 90.00
_symmetry_space_group_name_H-M 'P 4/n m m'
_symmetry_Int_Tables_number 129
loop_
_symmetry_equiv_pos_as_xyz
'x,y,z'
'-x,-y,-z'
'-y+1/2,x,z'
'y+1/2,-x,-z'
'-x+1/2,-y+1/2,z'
'x+1/2,y+1/2,-z'
'y,-x+1/2,z'
'-y,x+1/2,-z'
'x+1/2,-y,-z'
'-x+1/2,y,z'
'-y,-x,-z'
'y,x,z'
'-x,y+1/2,-z'
'x,-y+1/2,z'
'y+1/2,x+1/2,-z'
'-y+1/2,-x+1/2,z'
loop_
_atom_site_label
_atom_site_type_symbol
_atom_site_fract_x
_atom_site_fract_y
_atom_site_fract_z
Co1 Co 0.250 0.750 0.000
Ge1 Ge 0.250 0.250 0.390
As1 As 0.250 0.250 0.855
O1 O 0.250 0.750 0.500
# Energy relative to the lowest polymorph listed for this composition (meV/atom): 0
# M_tot (μB per cell): 0.0
# Uncorrected energy (eV/atom): -5.15